MgAsPd | PBE-GGA | relaxed

Properties
- Calculated volume: 52.67 Å³ per cell
- E_form: -0.496 eV per atom
- Total magnetic moment: 0.00 μB/cell
- Total energy: -12.9 eV for the cell shown

```
3
Lattice="4.351 0.000 0.000 -2.175 3.768 0.000 0.000 0.000 3.213" Properties=species:S:1:pos:R:3 pbc="T T T"
Mg 0.000 0.000 0.000
As 0.000 2.512 1.606
Pd 2.175 1.256 1.606
```

MgAsPd | PBE-GGA | relaxed

Properties
- Calculated volume: 102.99 Å³ per cell
- E_form: -0.441 eV per atom
- Total magnetic moment: 0.00 μB/cell
- Total energy: -25.5 eV for the cell shown

```
6
Lattice="3.562 0.000 0.000 0.000 3.562 0.000 0.000 0.000 8.119" Properties=species:S:1:pos:R:3 pbc="T T T"
Mg 0.000 0.000 0.000
Mg 1.781 1.781 4.059
As 0.000 0.000 5.430
As 1.781 1.781 1.371
Pd 0.000 0.000 2.763
Pd 1.781 1.781 6.823
```

Mg2As2Pd7 | PBE-GGA | relaxed

Properties
- Calculated volume: 178.17 Å³ per cell
- E_form: -0.446 eV per atom
- Total magnetic moment: 0.00 μB/cell
- Total energy: -53.7 eV for the cell shown

```
11
Lattice="-2.004 5.891 3.773 2.004 -5.891 3.773 2.004 5.891 -3.773" Properties=species:S:1:pos:R:3 pbc="T T T"
Mg 0.000 2.571 0.000
Mg 0.000 9.210 0.000
As 2.004 0.000 2.791
As 0.000 0.000 5.914
Pd 2.004 -2.065 1.521
Pd 0.000 0.000 0.984
Pd 2.004 4.465 -0.035
Pd 2.004 2.065 1.521
Pd 0.000 1.426 3.739
Pd 0.000 4.269 2.185
Pd 0.000 7.513 2.185
```

Mg3AsPd | PBE-GGA | relaxed

Properties
- Calculated volume: 118.08 Å³ per cell
- E_form: -0.069 eV per atom
- Total magnetic moment: 0.00 μB/cell
- Total energy: -15.0 eV for the cell shown

```
5
Lattice="4.906 0.000 0.000 0.000 4.906 0.000 0.000 0.000 4.906" Properties=species:S:1:pos:R:3 pbc="T T T"
Mg 0.000 0.000 2.453
Mg 0.000 2.453 0.000
Mg 2.453 0.000 0.000
As 2.453 2.453 2.453
Pd 0.000 0.000 0.000
```

Mg6AsPd12 | PBE-GGA | relaxed

Properties
- Calculated volume: 302.14 Å³ per cell
- E_form: -0.520 eV per atom
- Total magnetic moment: 0.00 μB/cell
- Total energy: -86.4 eV for the cell shown

```
19
Lattice="6.123 3.535 2.326 -6.123 3.535 2.326 0.000 -7.071 2.326" Properties=species:S:1:pos:R:3 pbc="T T T"
Mg -1.811 -2.565 2.365
Mg -1.316 2.851 2.365
Mg -3.127 0.285 4.613
Mg 3.127 -0.285 2.365
Mg 1.316 -2.851 4.613
Mg 1.811 2.565 4.613
As 0.000 0.000 0.000
Pd -3.875 1.810 2.334
Pd 0.370 -4.261 2.334
Pd -1.650 0.131 2.327
Pd -3.505 -2.451 4.644
Pd 0.712 -1.494 2.327
Pd 0.938 1.363 2.327
Pd -0.938 -1.363 4.652
Pd -0.712 1.494 4.652
Pd 3.505 2.451 2.334
Pd 1.650 -0.131 4.652
Pd -0.370 4.261 4.644
Pd 3.875 -1.810 4.644
```

MgAs2Pd | PBE-GGA | relaxed

Properties
- Calculated volume: 313.99 Å³ per cell
- E_form: -0.275 eV per atom
- Total magnetic moment: 0.00 μB/cell
- Total energy: -68.7 eV for the cell shown

```
16
Lattice="4.285 0.000 0.000 0.000 4.285 0.000 0.000 0.000 17.102" Properties=species:S:1:pos:R:3 pbc="T T T"
Mg 0.000 0.000 0.000
Mg 0.000 2.142 4.275
Mg 2.142 0.000 12.826
Mg 2.142 2.142 8.551
As 0.857 1.071 10.688
As 1.071 2.999 14.964
As 1.071 3.428 6.413
As 1.286 1.071 2.138
As 2.999 3.214 2.138
As 3.214 0.857 6.413
As 3.214 1.286 14.964
As 3.428 3.214 10.688
Pd 0.000 0.000 8.551
Pd 0.000 2.142 12.826
Pd 2.142 0.000 4.275
Pd 2.142 2.142 0.000
```

MgAsPd2 | PBE-GGA | relaxed

Properties
- Calculated volume: 64.14 Å³ per cell
- E_form: -0.519 eV per atom
- Total magnetic moment: 0.00 μB/cell
- Total energy: -18.7 eV for the cell shown

```
4
Lattice="4.348 0.000 0.000 0.000 4.348 0.000 0.000 0.000 3.392" Properties=species:S:1:pos:R:3 pbc="T T T"
Mg 0.000 0.000 0.000
As 2.174 2.174 0.000
Pd 0.000 2.174 1.696
Pd 2.174 0.000 1.696
```

MgAsPd3 | PBE-GGA | relaxed

Properties
- Calculated volume: 98.02 Å³ per cell
- E_form: 0.515 eV per atom
- Total magnetic moment: 0.00 μB/cell
- Total energy: -19.2 eV for the cell shown

```
5
Lattice="4.611 0.000 0.000 0.000 4.611 0.000 0.000 0.000 4.611" Properties=species:S:1:pos:R:3 pbc="T T T"
Mg 0.000 0.000 0.000
As 2.305 2.305 2.305
Pd 0.000 0.000 2.305
Pd 0.000 2.305 0.000
Pd 2.305 0.000 0.000
```

Mg3AsPd4 | PBE-GGA | relaxed

Properties
- Calculated volume: 128.28 Å³ per cell
- E_form: -0.643 eV per atom
- Total magnetic moment: 0.00 μB/cell
- Total energy: -35.3 eV for the cell shown

```
8
Lattice="2.248 1.298 7.330 -2.248 1.298 7.330 0.000 -2.595 7.330" Properties=species:S:1:pos:R:3 pbc="T T T"
Mg 0.000 0.000 0.000
Mg 0.000 0.000 5.539
Mg 0.000 0.000 16.451
As 0.000 0.000 10.995
Pd 0.000 0.000 2.808
Pd 0.000 0.000 8.281
Pd 0.000 0.000 13.709
Pd 0.000 0.000 19.182
```

MgAsPd3 | PBE-GGA | relaxed

Properties
- Calculated volume: 100.91 Å³ per cell
- E_form: -0.174 eV per atom
- Total magnetic moment: 0.00 μB/cell
- Total energy: -22.7 eV for the cell shown

```
5
Lattice="4.656 0.000 0.000 0.000 4.656 0.000 0.000 0.000 4.656" Properties=species:S:1:pos:R:3 pbc="T T T"
Mg 0.000 0.000 0.000
As 2.328 2.328 2.328
Pd 0.000 2.328 2.328
Pd 2.328 0.000 2.328
Pd 2.328 2.328 0.000
```

Mg3AsPd12 | PBE-GGA | relaxed

Properties
- Calculated volume: 249.09 Å³ per cell
- E_form: -0.418 eV per atom
- Total magnetic moment: 0.00 μB/cell
- Total energy: -78.4 eV for the cell shown

```
16
Lattice="3.961 0.000 0.000 0.000 3.961 0.000 0.000 0.000 15.873" Properties=species:S:1:pos:R:3 pbc="T T T"
Mg 0.000 0.000 0.000
Mg 0.000 0.000 3.960
Mg 0.000 0.000 11.912
As 0.000 0.000 7.936
Pd 0.000 1.981 1.986
Pd 0.000 1.981 5.988
Pd 0.000 1.981 9.885
Pd 0.000 1.981 13.887
Pd 1.981 0.000 1.986
Pd 1.981 0.000 5.988
Pd 1.981 0.000 9.885
Pd 1.981 0.000 13.887
Pd 1.981 1.981 0.000
Pd 1.981 1.981 3.992
Pd 1.981 1.981 7.936
Pd 1.981 1.981 11.880
```

PmMg2As2Pd7 | PBE-GGA | relaxed

Properties
- Calculated volume: 209.52 Å³ per cell
- E_form: -0.558 eV per atom
- Total magnetic moment: 0.00 μB/cell
- Total energy: -60.3 eV for the cell shown

```
12
Lattice="2.944 -2.933 0.000 2.944 2.933 0.000 -0.015 0.000 12.135" Properties=species:S:1:pos:R:3 pbc="T T T"
Pm 0.000 0.000 0.000
Mg -0.003 0.000 4.013
Mg 5.876 0.000 8.121
As 2.927 0.000 8.390
As 2.946 0.000 3.744
Pd 1.471 1.466 2.157
Pd 4.402 -1.466 9.977
Pd 1.594 0.000 6.068
Pd 1.471 -1.466 2.157
Pd 4.402 1.466 9.977
Pd 2.944 0.000 0.000
Pd 4.279 0.000 6.066
```